[1]
# K2MoPtO (PBE+U, relaxed)
data_K2MoPtO
_space_group_name_H-M_alt 'P 4/m m m'
_space_group_IT_number 123
_space_group_name_Hall '-P 4 2'
_cell_length_a 6.1456
_cell_length_b 6.1456
_cell_length_c 5.1709
_cell_angle_alpha 90.00
_cell_angle_beta 90.00
_cell_angle_gamma 90.00
loop_
_atom_site_label
_atom_site_fract_x
_atom_site_fract_y
_atom_site_fract_z
K1 0.0000 0.5000 0.0000
Mo1 0.0000 0.0000 0.5000
Pt1 0.0000 0.0000 0.0000
O1 0.5000 0.5000 0.5000
# - total energy (eV/atom) = -3.39
# - total moment (μB/cell) = 4.000


[2]
# K2Pu3MoO12 (PBE+U, relaxed)
data_K2Pu3MoO12
_space_group_name_H-M_alt 'R -3 m'
_space_group_IT_number 166
_space_group_name_Hall '-R 3 2"'
_cell_length_a 7.7697
_cell_length_b 7.7697
_cell_length_c 18.5933
_cell_angle_alpha 90.00
_cell_angle_beta 90.00
_cell_angle_gamma 120.00
loop_
_atom_site_label
_atom_site_fract_x
_atom_site_fract_y
_atom_site_fract_z
K1 0.0000 0.0000 0.1261
Pu1 0.0000 0.5000 0.0000
Mo1 0.0000 0.0000 0.5000
O1 0.0755 0.5377 0.3600
O2 0.0938 0.5469 0.1079
# - total energy (eV/atom) = -8.52
# - total moment (μB/cell) = 24.000